(1)
Compound: Hf4CoSe
Source: the Alexandria database
Functional: PBE-GGA
Structure: optimized geometry Values from VASP.

Space-group type ... No. 15
Final energy ... -8.713 eV per atom
Calculated volume ... 20.7 Å³/atom
E_form (uncorrected) ... -0.312 eV/atom
Crystal system ... monoclinic

Quantum ESPRESSO input file:
```
&SYSTEM
  ibrav = 0, nat = 12, ntyp = 3
/
ATOMIC_SPECIES
Hf 178.49 Hf.upf
Co 58.93 Co.upf
Se 78.96 Se.upf
CELL_PARAMETERS angstrom
6.349 -0.137 0.000
-1.088 5.934 0.000
-2.630 -2.898 6.609
ATOMIC_POSITIONS crystal
Hf 0.935 0.316 0.088
Hf 0.653 0.771 0.088
Hf 0.372 0.582 0.622
Hf 0.628 0.418 0.378
Hf 0.250 0.960 0.378
Hf 0.347 0.229 0.912
Hf 0.750 0.040 0.622
Hf 0.065 0.684 0.912
Co 0.352 0.602 0.204
Co 0.648 0.398 0.796
Se 0.048 0.798 0.597
Se 0.952 0.202 0.403
```

---

(2)
Compound: HfCo3Se
Source: the Alexandria database
Functional: PBE-GGA
Structure: optimized geometry Values from VASP.

Space-group type ... No. 221
Final energy ... -5.549 eV per atom
Calculated volume ... 19.4 Å³/atom
E_form (uncorrected) ... 1.402 eV/atom
Crystal system ... cubic

Quantum ESPRESSO input file:
```
&SYSTEM
  ibrav = 0, nat = 5, ntyp = 3
/
ATOMIC_SPECIES
Co 58.93 Co.upf
Hf 178.49 Hf.upf
Se 78.96 Se.upf
CELL_PARAMETERS angstrom
4.594 0.000 0.000
0.000 4.594 0.000
0.000 0.000 4.594
ATOMIC_POSITIONS crystal
Co 0.000 0.500 0.000
Co 0.000 0.000 0.500
Co 0.500 0.000 0.000
Hf 0.000 0.000 0.000
Se 0.500 0.500 0.500
```

---

(3)
Compound: Hf8CoSe2
Source: the Alexandria database
Functional: PBE-GGA
Structure: optimized geometry Values from VASP.

Space-group type ... No. 12
Final energy ... -8.626 eV per atom
Calculated volume ... 24.1 Å³/atom
E_form (uncorrected) ... -0.107 eV/atom
Crystal system ... monoclinic

Quantum ESPRESSO input file:
```
&SYSTEM
  ibrav = 0, nat = 11, ntyp = 3
/
ATOMIC_SPECIES
Hf 178.49 Hf.upf
Co 58.93 Co.upf
Se 78.96 Se.upf
CELL_PARAMETERS angstrom
-2.119 -6.900 -2.510
5.702 1.700 -3.188
6.243 -0.538 2.511
ATOMIC_POSITIONS crystal
Hf 0.145 0.127 0.624
Hf 0.145 0.624 0.127
Hf 0.855 0.873 0.376
Hf 0.175 0.612 0.612
Hf 0.855 0.376 0.873
Hf 0.242 0.187 0.187
Hf 0.758 0.813 0.813
Hf 0.825 0.388 0.388
Co 0.000 0.000 0.000
Se 0.581 0.164 0.164
Se 0.419 0.836 0.836
```

---

(4)
Compound: HfCo3Se
Source: the Alexandria database
Functional: PBE-GGA
Structure: optimized geometry Values from VASP.

Space-group type ... No. 221
Final energy ... -6.581 eV per atom
Calculated volume ... 15.6 Å³/atom
E_form (uncorrected) ... 0.370 eV/atom
Crystal system ... cubic

Quantum ESPRESSO input file:
```
&SYSTEM
  ibrav = 0, nat = 5, ntyp = 3
/
ATOMIC_SPECIES
Co 58.93 Co.upf
Hf 178.49 Hf.upf
Se 78.96 Se.upf
CELL_PARAMETERS angstrom
4.275 0.000 0.000
0.000 4.275 0.000
0.000 0.000 4.275
ATOMIC_POSITIONS crystal
Co 0.000 0.500 0.000
Co 0.000 0.000 0.500
Co 0.500 0.000 0.000
Hf 0.500 0.500 0.500
Se 0.000 0.000 0.000
```

---

(5)
Compound: HfCoSe2
Source: the Alexandria database
Functional: PBE-GGA
Structure: optimized geometry Values from VASP.

Space-group type ... No. 166
Final energy ... -6.396 eV per atom
Calculated volume ... 22.6 Å³/atom
E_form (uncorrected) ... -0.389 eV/atom
Crystal system ... trigonal

Quantum ESPRESSO input file:
```
&SYSTEM
  ibrav = 0, nat = 4, ntyp = 3
/
ATOMIC_SPECIES
Co 58.93 Co.upf
Hf 178.49 Hf.upf
Se 78.96 Se.upf
CELL_PARAMETERS angstrom
2.098 0.000 7.911
-1.049 1.817 7.911
-1.049 -1.817 7.911
ATOMIC_POSITIONS crystal
Co 0.000 0.000 0.000
Hf 0.500 0.500 0.500
Se 0.903 0.903 0.903
Se 0.097 0.097 0.097
```

---

(6)
Compound: HfCoSe
Source: the Alexandria database
Functional: PBE-GGA
Structure: optimized geometry Values from VASP.

Space-group type ... No. 166
Final energy ... -7.577 eV per atom
Calculated volume ... 21.4 Å³/atom
E_form (uncorrected) ... -0.729 eV/atom
Crystal system ... trigonal

Quantum ESPRESSO input file:
```
&SYSTEM
  ibrav = 0, nat = 6, ntyp = 3
/
ATOMIC_SPECIES
Hf 178.49 Hf.upf
Se 78.96 Se.upf
Co 58.93 Co.upf
CELL_PARAMETERS angstrom
-3.027 -2.315 -0.001
-0.069 -3.046 2.288
-5.327 3.826 8.105
ATOMIC_POSITIONS crystal
Hf 0.557 0.557 0.330
Hf 0.443 0.443 0.670
Se 0.274 0.274 0.178
Se 0.726 0.726 0.822
Co 0.834 0.834 0.498
Co 0.166 0.166 0.502
```

---

(7)
Compound: Hf5Co2Se2
Source: the Alexandria database
Functional: PBE-GGA
Structure: optimized geometry Values from VASP.

Space-group type ... No. 64
Final energy ... -8.575 eV per atom
Calculated volume ... 18.9 Å³/atom
E_form (uncorrected) ... -0.692 eV/atom
Crystal system ... orthorhombic

Quantum ESPRESSO input file:
```
&SYSTEM
  ibrav = 0, nat = 18, ntyp = 3
/
ATOMIC_SPECIES
Hf 178.49 Hf.upf
Co 58.93 Co.upf
Se 78.96 Se.upf
CELL_PARAMETERS angstrom
6.664 0.000 2.419
0.000 7.087 0.000
1.021 0.000 7.577
ATOMIC_POSITIONS crystal
Hf 0.000 0.000 0.000
Hf 0.500 0.500 0.000
Hf 0.458 0.160 0.764
Hf 0.778 0.840 0.764
Hf 0.278 0.660 0.764
Hf 0.958 0.340 0.764
Hf 0.542 0.840 0.236
Hf 0.222 0.160 0.236
Hf 0.722 0.340 0.236
Hf 0.042 0.660 0.236
Co 0.134 0.370 0.000
Co 0.866 0.630 0.000
Co 0.366 0.870 0.000
Co 0.634 0.130 0.000
Se 0.207 0.000 0.587
Se 0.707 0.500 0.587
Se 0.793 0.000 0.413
Se 0.293 0.500 0.413
```

---

(8)
Compound: Hf3CoSe
Source: the Alexandria database
Functional: PBE-GGA
Structure: optimized geometry Values from VASP.

Space-group type ... No. 221
Final energy ... -8.069 eV per atom
Calculated volume ... 21.9 Å³/atom
E_form (uncorrected) ... 0.022 eV/atom
Crystal system ... cubic

Quantum ESPRESSO input file:
```
&SYSTEM
  ibrav = 0, nat = 5, ntyp = 3
/
ATOMIC_SPECIES
Co 58.93 Co.upf
Hf 178.49 Hf.upf
Se 78.96 Se.upf
CELL_PARAMETERS angstrom
4.786 0.000 0.000
0.000 4.786 0.000
0.000 0.000 4.786
ATOMIC_POSITIONS crystal
Co 0.000 0.000 0.000
Hf 0.000 0.500 0.000
Hf 0.000 0.000 0.500
Hf 0.500 0.000 0.000
Se 0.500 0.500 0.500
```

---

(9)
Compound: HfZrCo2Se
Source: the Alexandria database
Functional: PBE-GGA
Structure: optimized geometry Values from VASP.

Space-group type ... No. 123
Final energy ... -6.637 eV per atom
Calculated volume ... 20.1 Å³/atom
E_form (uncorrected) ... 0.602 eV/atom
Crystal system ... tetragonal

Quantum ESPRESSO input file:
```
&SYSTEM
  ibrav = 0, nat = 5, ntyp = 4
/
ATOMIC_SPECIES
Co 58.93 Co.upf
Hf 178.49 Hf.upf
Se 78.96 Se.upf
Zr 91.22 Zr.upf
CELL_PARAMETERS angstrom
-2.986 1.919 -2.778
0.865 -3.528 -3.367
-3.283 -2.515 1.792
ATOMIC_POSITIONS crystal
Co 0.000 0.000 0.500
Co 0.500 0.000 0.000
Hf 0.000 0.000 0.000
Se 0.000 0.500 0.000
Zr 0.500 0.500 0.500
```

---

(10)
Compound: Hf2Co3Si5
Source: the Alexandria database
Functional: PBE-GGA
Structure: optimized geometry Values from VASP.

Space-group type ... No. 36
Final energy ... -7.519 eV per atom
Calculated volume ... 13.6 Å³/atom
E_form (uncorrected) ... -0.685 eV/atom
Crystal system ... orthorhombic

Quantum ESPRESSO input file:
```
&SYSTEM
  ibrav = 0, nat = 20, ntyp = 3
/
ATOMIC_SPECIES
Hf 178.49 Hf.upf
Co 58.93 Co.upf
Si 28.09 Si.upf
CELL_PARAMETERS angstrom
3.799 0.000 -0.647
0.000 6.258 0.000
-0.005 0.000 11.445
ATOMIC_POSITIONS crystal
Hf 0.476 0.741 0.953
Hf 0.174 0.753 0.349
Hf 0.826 0.253 0.651
Hf 0.524 0.241 0.047
Co 0.777 0.723 0.554
Co 0.607 0.505 0.215
Co 0.053 0.965 0.106
Co 0.223 0.223 0.446
Co 0.947 0.465 0.894
Co 0.393 0.005 0.785
Si 0.404 0.373 0.808
Si 0.285 0.525 0.570
Si 0.715 0.025 0.430
Si 0.120 0.261 0.240
Si 0.294 0.936 0.589
Si 0.949 0.082 0.898
Si 0.706 0.436 0.411
Si 0.880 0.761 0.760
Si 0.051 0.582 0.102
Si 0.596 0.873 0.192
```

---

(11)
Compound: Hf3CoSi
Source: the Alexandria database
Functional: PBE-GGA
Structure: optimized geometry Values from VASP.

Space-group type ... No. 221
Final energy ... -8.350 eV per atom
Calculated volume ... 20.9 Å³/atom
E_form (uncorrected) ... 0.128 eV/atom
Crystal system ... cubic

Quantum ESPRESSO input file:
```
&SYSTEM
  ibrav = 0, nat = 5, ntyp = 3
/
ATOMIC_SPECIES
Co 58.93 Co.upf
Si 28.09 Si.upf
Hf 178.49 Hf.upf
CELL_PARAMETERS angstrom
-0.132 -2.292 -4.115
3.086 -3.152 1.656
-3.559 -2.648 1.589
ATOMIC_POSITIONS crystal
Co 0.000 0.000 0.000
Si 0.500 0.500 0.500
Hf 0.000 0.500 0.000
Hf 0.000 0.000 0.500
Hf 0.500 0.000 0.000
```

---

(12)
Compound: Hf3Co6Si2
Source: the Alexandria database
Functional: PBE-GGA
Structure: optimized geometry Values from VASP.

Space-group type ... No. 229
Final energy ... -8.187 eV per atom
Calculated volume ... 13.4 Å³/atom
E_form (uncorrected) ... -0.610 eV/atom
Crystal system ... cubic

Quantum ESPRESSO input file:
```
&SYSTEM
  ibrav = 0, nat = 22, ntyp = 3
/
ATOMIC_SPECIES
Hf 178.49 Hf.upf
Co 58.93 Co.upf
Si 28.09 Si.upf
CELL_PARAMETERS angstrom
-0.717 2.641 -6.722
-4.065 -5.972 0.699
-2.180 4.985 4.804
ATOMIC_POSITIONS crystal
Hf 0.720 0.000 0.720
Hf 0.280 0.000 0.280
Hf 0.000 0.280 0.280
Hf 0.000 0.720 0.720
Hf 0.280 0.280 0.000
Hf 0.720 0.720 0.000
Co 0.656 0.312 0.656
Co 0.656 0.000 0.344
Co 0.344 0.000 0.656
Co 0.344 0.688 0.344
Co 0.000 0.656 0.344
Co 0.688 0.344 0.344
Co 0.312 0.656 0.656
Co 0.000 0.344 0.656
Co 0.344 0.656 0.000
Co 0.656 0.656 0.312
Co 0.344 0.344 0.688
Co 0.656 0.344 0.000
Si 0.000 0.500 0.000
Si 0.500 0.000 0.000
Si 0.000 0.000 0.500
Si 0.500 0.500 0.500
```

---

(13)
Compound: HfCoSi
Source: the Alexandria database
Functional: PBE-GGA
Structure: optimized geometry Values from VASP.

Space-group type ... No. 38
Final energy ... -8.104 eV per atom
Calculated volume ... 14.1 Å³/atom
E_form (uncorrected) ... -0.610 eV/atom
Crystal system ... orthorhombic

Quantum ESPRESSO input file:
```
&SYSTEM
  ibrav = 0, nat = 12, ntyp = 3
/
ATOMIC_SPECIES
Hf 178.49 Hf.upf
Co 58.93 Co.upf
Si 28.09 Si.upf
CELL_PARAMETERS angstrom
2.524 -4.252 0.000
2.524 4.252 0.000
0.000 0.000 7.907
ATOMIC_POSITIONS crystal
Hf 0.332 0.668 0.681
Hf 0.662 0.338 0.795
Hf 0.662 0.338 0.205
Hf 0.332 0.668 0.319
Co 0.989 0.011 0.771
Co 0.989 0.011 0.229
Co 0.847 0.655 0.500
Co 0.345 0.153 0.500
Si 0.853 0.147 0.500
Si 0.168 0.345 0.000
Si 0.655 0.832 0.000
Si 0.166 0.834 0.000
```

---

(14)
Compound: HfCoSi
Source: the Alexandria database
Functional: PBE-GGA
Structure: optimized geometry Values from VASP.

Space-group type ... No. 187
Final energy ... -8.202 eV per atom
Calculated volume ... 14.8 Å³/atom
E_form (uncorrected) ... -0.708 eV/atom
Crystal system ... hexagonal

Quantum ESPRESSO input file:
```
&SYSTEM
  ibrav = 0, nat = 3, ntyp = 3
/
ATOMIC_SPECIES
Co 58.93 Co.upf
Si 28.09 Si.upf
Hf 178.49 Hf.upf
CELL_PARAMETERS angstrom
3.163 0.000 0.000
0.000 4.023 0.000
0.000 -2.012 3.484
ATOMIC_POSITIONS crystal
Co 0.167 0.667 0.333
Si 0.167 0.000 0.000
Hf 0.667 0.333 0.667
```

---

(15)
Compound: HfCoSi
Source: the Alexandria database
Functional: PBE-GGA
Structure: optimized geometry Values from VASP.

Space-group type ... No. 139
Final energy ... -8.281 eV per atom
Calculated volume ... 14.8 Å³/atom
E_form (uncorrected) ... -0.787 eV/atom
Crystal system ... tetragonal

Quantum ESPRESSO input file:
```
&SYSTEM
  ibrav = 0, nat = 12, ntyp = 3
/
ATOMIC_SPECIES
Co 58.93 Co.upf
Si 28.09 Si.upf
Hf 178.49 Hf.upf
CELL_PARAMETERS angstrom
-0.916 1.042 3.458
-0.853 -3.529 0.837
12.023 -2.007 3.789
ATOMIC_POSITIONS crystal
Co 0.000 0.500 0.000
Co 0.500 0.000 0.000
Co 0.500 0.000 0.500
Co 0.000 0.500 0.500
Si 0.000 0.000 0.388
Si 0.000 0.000 0.612
Si 0.500 0.500 0.888
Si 0.500 0.500 0.112
Hf 0.000 0.000 0.835
Hf 0.000 0.000 0.165
Hf 0.500 0.500 0.335
Hf 0.500 0.500 0.665
```

---

(16)
Compound: HfCoSi
Source: the Alexandria database
Functional: PBE-GGA
Structure: optimized geometry Values from VASP.

Space-group type ... No. 71
Final energy ... -8.119 eV per atom
Calculated volume ... 14.8 Å³/atom
E_form (uncorrected) ... -0.625 eV/atom
Crystal system ... orthorhombic

Quantum ESPRESSO input file:
```
&SYSTEM
  ibrav = 0, nat = 12, ntyp = 3
/
ATOMIC_SPECIES
Co 58.93 Co.upf
Si 28.09 Si.upf
Hf 178.49 Hf.upf
CELL_PARAMETERS angstrom
-2.887 4.368 0.824
-1.801 -1.618 2.267
6.474 2.916 7.223
ATOMIC_POSITIONS crystal
Co 0.255 0.000 0.000
Co 0.745 0.000 0.000
Co 0.755 0.500 0.500
Co 0.245 0.500 0.500
Si 0.000 0.000 0.615
Si 0.000 0.000 0.385
Si 0.500 0.500 0.115
Si 0.500 0.500 0.885
Hf 0.500 0.000 0.675
Hf 0.500 0.000 0.325
Hf 0.000 0.500 0.175
Hf 0.000 0.500 0.825
```

---

(17)
Compound: HfCoSi
Source: the Alexandria database
Functional: PBE-GGA
Structure: optimized geometry Values from VASP.

Space-group type ... No. 12
Final energy ... -8.114 eV per atom
Calculated volume ... 15.3 Å³/atom
E_form (uncorrected) ... -0.619 eV/atom
Crystal system ... monoclinic

Quantum ESPRESSO input file:
```
&SYSTEM
  ibrav = 0, nat = 12, ntyp = 3
/
ATOMIC_SPECIES
Co 58.93 Co.upf
Si 28.09 Si.upf
Hf 178.49 Hf.upf
CELL_PARAMETERS angstrom
-4.162 -1.961 1.994
-0.702 -1.912 -3.346
6.642 -6.494 2.318
ATOMIC_POSITIONS crystal
Co 0.673 0.000 0.300
Co 0.327 0.000 0.700
Co 0.673 0.500 0.800
Co 0.327 0.500 0.200
Si 0.674 0.000 0.910
Si 0.326 0.000 0.090
Si 0.674 0.500 0.410
Si 0.326 0.500 0.590
Hf 0.188 0.000 0.373
Hf 0.812 0.000 0.627
Hf 0.188 0.500 0.873
Hf 0.812 0.500 0.127
```

---

(18)
Compound: HfCo2Si2
Source: the Alexandria database
Functional: PBE-GGA
Structure: optimized geometry Values from VASP.

Space-group type ... No. 127
Final energy ... -7.463 eV per atom
Calculated volume ... 12.9 Å³/atom
E_form (uncorrected) ... -0.461 eV/atom
Crystal system ... tetragonal

Quantum ESPRESSO input file:
```
&SYSTEM
  ibrav = 0, nat = 10, ntyp = 3
/
ATOMIC_SPECIES
Co 58.93 Co.upf
Si 28.09 Si.upf
Hf 178.49 Hf.upf
CELL_PARAMETERS angstrom
6.995 0.000 0.000
0.000 6.995 0.000
0.000 0.000 2.645
ATOMIC_POSITIONS crystal
Co 0.146 0.646 0.500
Co 0.646 0.854 0.500
Co 0.854 0.354 0.500
Co 0.354 0.146 0.500
Si 0.359 0.859 0.000
Si 0.859 0.641 0.000
Si 0.641 0.141 0.000
Si 0.141 0.359 0.000
Hf 0.000 0.000 0.000
Hf 0.500 0.500 0.000
```

---

(19)
Compound: Hf2Co12Si7
Source: the Alexandria database
Functional: PBE-GGA
Structure: optimized geometry Values from VASP.

Space-group type ... No. 174
Final energy ... -7.415 eV per atom
Calculated volume ... 12.0 Å³/atom
E_form (uncorrected) ... -0.599 eV/atom
Crystal system ... hexagonal

Quantum ESPRESSO input file:
```
&SYSTEM
  ibrav = 0, nat = 21, ntyp = 3
/
ATOMIC_SPECIES
Hf 178.49 Hf.upf
Co 58.93 Co.upf
Si 28.09 Si.upf
CELL_PARAMETERS angstrom
3.572 0.000 0.000
0.000 7.825 -4.518
0.000 0.000 9.035
ATOMIC_POSITIONS crystal
Hf 0.500 0.000 0.000
Hf 0.000 0.667 0.333
Co 0.500 0.898 0.611
Co 0.500 0.714 0.102
Co 0.500 0.389 0.286
Co 0.500 0.226 0.794
Co 0.500 0.568 0.774
Co 0.500 0.206 0.432
Co 0.000 0.054 0.539
Co 0.000 0.485 0.946
Co 0.000 0.461 0.515
Co 0.000 0.773 0.727
Co 0.000 0.954 0.227
Co 0.000 0.273 0.046
Si 0.000 0.333 0.667
Si 0.000 0.046 0.783
Si 0.000 0.736 0.954
Si 0.000 0.217 0.264
Si 0.500 0.627 0.554
Si 0.500 0.927 0.373
Si 0.500 0.446 0.073
```

---

(20)
Compound: HfCoSi
Source: the Alexandria database
Functional: PBE-GGA
Structure: optimized geometry Values from VASP.

Space-group type ... No. 12
Final energy ... -8.241 eV per atom
Calculated volume ... 14.6 Å³/atom
E_form (uncorrected) ... -0.747 eV/atom
Crystal system ... monoclinic

Quantum ESPRESSO input file:
```
&SYSTEM
  ibrav = 0, nat = 12, ntyp = 3
/
ATOMIC_SPECIES
Co 58.93 Co.upf
Si 28.09 Si.upf
Hf 178.49 Hf.upf
CELL_PARAMETERS angstrom
-0.979 0.508 -6.204
3.176 -2.107 -0.674
-2.974 -6.513 6.342
ATOMIC_POSITIONS crystal
Co 0.780 0.000 0.830
Co 0.220 0.000 0.170
Co 0.780 0.500 0.330
Co 0.220 0.500 0.670
Si 0.598 0.000 0.166
Si 0.402 0.000 0.834
Si 0.598 0.500 0.666
Si 0.402 0.500 0.334
Hf 0.183 0.000 0.441
Hf 0.817 0.000 0.559
Hf 0.183 0.500 0.941
Hf 0.817 0.500 0.059
```